The following is a DFT calculation (PBE) of a geometry-optimized BaNbFe3 structure.

Unit cell a=4.793 b=4.793 c=4.793 alpha=90.00 beta=90.00 gamma=90.00
Each line ends with the local moment (μB).
Element x y z (fractional)
Ba  0.000  0.000  0.000  -0.13
Nb  0.500  0.500  0.500  -1.76
Fe  0.500  0.000  0.000  2.50
Fe  0.000  0.500  0.000  2.46
Fe  0.000  0.000  0.500  2.27

Results
Energy relative to the lowest polymorph listed for this composition = 1462 meV per atom
Calculated volume = 22.02 Å³/atom


The following is a DFT calculation (PBE) of a geometry-optimized TiIn2Tc structure.

Unit cell a=4.666 b=4.666 c=4.666 alpha=60.00 beta=60.00 gamma=60.00
Element x y z (fractional)
Tc  0.500  0.500  0.500
In  0.750  0.750  0.750
In  0.250  0.250  0.250
Ti  0.000  0.000  0.000

Results
Energy relative to the lowest polymorph listed for this composition = 0 meV per atom
Calculated volume = 17.96 Å³/atom


The following is a DFT calculation (PBE) of a geometry-optimized RbBaB2 structure.

Unit cell a=8.327 b=8.327 c=6.971 alpha=53.33 beta=53.33 gamma=90.00
Each line ends with the local moment (μB).
Element x y z (fractional)
B  0.875  0.909  0.750  0.19
B  0.659  0.125  0.250  0.16
B  0.091  0.625  0.250  0.16
B  0.375  0.341  0.750  0.19
Rb  0.500  0.500  0.000  0.02
Rb  0.250  0.750  0.500  0.02
Ba  0.750  0.250  0.500  0.13
Ba  0.000  0.000  0.000  0.12

Results
Energy relative to the lowest polymorph listed for this composition = 247 meV per atom
Calculated volume = 32.34 Å³/atom


The following is a DFT calculation (PBE) of a geometry-optimized CrGa2Cl5 structure.

Unit cell a=4.964 b=8.078 c=11.549 alpha=90.00 beta=90.00 gamma=107.89
Each line ends with the local moment (μB).
Element x y z (fractional)
Cl  0.296  0.593  0.397  -0.03
Cl  0.920  0.841  0.892  -0.03
Cl  0.296  0.593  0.103  -0.03
Cl  0.704  0.407  0.897  -0.03
Cl  0.920  0.841  0.608  -0.03
Cl  0.080  0.159  0.392  -0.03
Cl  0.302  0.603  0.750  -0.03
Cl  0.080  0.159  0.108  -0.03
Cl  0.704  0.407  0.603  -0.03
Cl  0.698  0.397  0.250  -0.03
Ga  0.879  0.757  0.118  -0.01
Ga  0.121  0.243  0.618  -0.01
Ga  0.879  0.757  0.382  -0.01
Ga  0.121  0.243  0.882  -0.01
Cr  0.189  0.378  0.250  3.00
Cr  0.811  0.622  0.750  3.00

Results
ΔE_f (raw) = -0.85 eV per atom
Calculated volume = 27.54 Å³/atom